DFT (PBE) results for ThV2W after structural relaxation.

a = 5.8198 Å, b = 5.8198 Å, c = 5.8198 Å
α = 43.15°, β = 43.15°, γ = 43.15°
With the nearest neighbours (Å) after each atom.
Positions (direct):
1 Th 0.0000 0.0000 0.0000  8 V 3.15-3.25
2 V 0.1995 0.1995 0.1995  3 W 2.53, 3 V 2.68
3 V 0.8005 0.8005 0.8005  3 W 2.53, 3 V 2.68
4 W 0.5000 0.5000 0.5000  6 V 2.53

- N(E_F) (states/eV/f.u.) = 2.987
- formation energy from the elements (eV/atom) = 0.372
- crystal system = trigonal
- space group = R-3m (166)
- density (g/cm3) = 10.29

DFT (PBE) results for YTh2V after structural relaxation.

a = 11.6629 Å, b = 11.6629 Å, c = 11.6629 Å
α = 16.77°, β = 16.77°, γ = 16.77°
With the nearest neighbours (Å) after each atom.
Positions (direct):
1 Y 0.0000 0.0000 0.0000  6 Y 3.40, 6 Th 3.62
2 Th 0.4217 0.4217 0.4217  1 V 2.70
3 Th 0.5783 0.5783 0.5783  1 V 2.70
4 V 0.5000 0.5000 0.5000  2 Th 2.70

- N(E_F) (states/eV/f.u.) = 6.142
- formation energy from the elements (eV/atom) = 0.629
- crystal system = trigonal
- space group = R-3m (166)
- density (g/cm3) = 8.71

DFT (PBE) results for YThV4 after structural relaxation.

a = 5.3929 Å, b = 5.3929 Å, c = 5.3929 Å
α = 60.00°, β = 60.00°, γ = 60.00°
With the nearest neighbours (Å) after each atom.
Positions (direct):
1 Y 0.0000 0.0000 0.0000  12 V 3.16, 4 Th 3.30
2 Th 0.2500 0.2500 0.2500  12 V 3.16, 4 Y 3.30
3 V 0.1242 0.6253 0.6253  6 V 2.69-2.70
4 V 0.6253 0.1242 0.6253  6 V 2.69-2.70
5 V 0.6253 0.6253 0.1242  6 V 2.69-2.70
6 V 0.6253 0.6253 0.6253  6 V 2.69-2.70

- N(E_F) (states/eV/f.u.) = 4.668
- formation energy from the elements (eV/atom) = 0.223
- crystal system = cubic
- space group = F-43m (216)
- density (g/cm3) = 7.86

DFT (PBE) results for Y2ThV after structural relaxation.

a = 11.5759 Å, b = 11.5759 Å, c = 11.5759 Å
α = 16.99°, β = 16.99°, γ = 16.99°
With the nearest neighbours (Å) after each atom.
Positions (direct):
1 Y 0.0826 0.0826 0.0826  1 V 2.83
2 Y 0.9174 0.9174 0.9174  1 V 2.83
3 Th 0.5000 0.5000 0.5000  6 Th 3.42, 6 Y 3.49
4 V 0.0000 0.0000 0.0000  2 Y 2.83

- N(E_F) (states/eV/f.u.) = 5.184
- formation energy from the elements (eV/atom) = 0.617
- crystal system = trigonal
- space group = R-3m (166)
- density (g/cm3) = 6.62

DFT (PBE) results for ThVZn after structural relaxation.

a = 9.0314 Å, b = 9.0314 Å, c = 9.0314 Å
α = 27.27°, β = 27.27°, γ = 27.27°
With the nearest neighbours (Å) after each atom.
Positions (direct):
1 Th 0.0757 0.0757 0.0757  4 V 2.84-3.11, 3 Zn 3.09
2 Th 0.9243 0.9243 0.9243  4 V 2.84-3.11, 3 Zn 3.09
3 V 0.1844 0.1844 0.1844  3 V 2.63, 1 Th 2.84
4 V 0.8156 0.8156 0.8156  3 V 2.63, 1 Th 2.84
5 Zn 0.3294 0.3294 0.3294  3 Zn 2.47
6 Zn 0.6706 0.6706 0.6706  3 Zn 2.47

- N(E_F) (states/eV/f.u.) = 3.209
- formation energy from the elements (eV/atom) = 0.423
- crystal system = trigonal
- space group = R-3m (166)
- density (g/cm3) = 8.48

DFT (PBE) results for Th2VZn after structural relaxation.

a = 10.9442 Å, b = 10.9442 Å, c = 10.9442 Å
α = 17.29°, β = 17.29°, γ = 17.29°
With the nearest neighbours (Å) after each atom.
Positions (direct):
1 Th 0.0867 0.0867 0.0867  1 V 2.80
2 Th 0.9133 0.9133 0.9133  1 V 2.80
3 V 0.0000 0.0000 0.0000  2 Th 2.80
4 Zn 0.5000 0.5000 0.5000  6 Th 3.21, 6 Zn 3.29

- N(E_F) (states/eV/f.u.) = 6.421
- formation energy from the elements (eV/atom) = 0.586
- crystal system = trigonal
- space group = R-3m (166)
- density (g/cm3) = 9.54

DFT (PBE) results for ThZr2V after structural relaxation.

a = 5.0422 Å, b = 5.0422 Å, c = 5.0422 Å
α = 59.81°, β = 59.81°, γ = 59.81°
With the nearest neighbours (Å) after each atom.
Positions (direct):
1 Th 0.0000 0.0000 0.0000  8 Zr 3.08
2 Zr 0.2491 0.2491 0.2491  4 V 3.08-3.10, 4 Th 3.08
3 Zr 0.7509 0.7509 0.7509  4 V 3.08-3.10, 4 Th 3.08
4 V 0.5000 0.5000 0.5000  8 Zr 3.08-3.10

- N(E_F) (states/eV/f.u.) = 7.761
- formation energy from the elements (eV/atom) = 0.291
- crystal system = trigonal
- space group = R-3m (166)
- density (g/cm3) = 8.56

DFT (PBE) results for ThZrV after structural relaxation.

a = 5.2142 Å, b = 6.7466 Å, c = 6.7466 Å
α = 117.84°, β = 90.00°, γ = 90.00°
With the nearest neighbours (Å) after each atom.
Positions (direct):
1 Th 0.0000 0.0000 0.0000  2 V 2.72
2 Th 0.5000 0.3933 0.7491  2 V 2.66-2.80
3 Th 0.5000 0.7491 0.3933  2 V 2.66-2.80
4 Zr 0.0000 0.0427 0.5424  3 Zr 3.14-3.48, 5 Th 3.14-3.35, 2 V 3.20
5 Zr 0.0000 0.4700 0.4700  2 Zr 3.14, 5 Th 3.27-3.39, 4 V 3.35
6 Zr 0.0000 0.5424 0.0427  3 Zr 3.14-3.48, 5 Th 3.14-3.35, 2 V 3.20
7 V 0.5000 0.1179 0.3098  1 V 2.22
8 V 0.5000 0.3098 0.1179  1 V 2.22
9 V 0.5000 0.8871 0.8871  2 V 2.53, 2 Th 2.72

- N(E_F) (states/eV/f.u.) = 3.332
- formation energy from the elements (eV/atom) = 0.353
- crystal system = orthorhombic
- space group = Amm2 (38)
- density (g/cm3) = 8.88

DFT (PBE) results for ThZr2V after structural relaxation.

a = 3.3798 Å, b = 3.3798 Å, c = 7.9847 Å
α = 90.00°, β = 90.00°, γ = 90.00°
With the nearest neighbours (Å) after each atom.
Positions (direct):
1 Th 0.0000 0.0000 0.0000  4 Th 3.38, 8 Zr 3.40
2 Zr 0.5000 0.5000 0.3030  4 V 2.86, 1 Zr 3.15
3 Zr 0.5000 0.5000 0.6970  4 V 2.86, 1 Zr 3.15
4 V 0.0000 0.0000 0.5000  8 Zr 2.86

- N(E_F) (states/eV/f.u.) = 5.552
- formation energy from the elements (eV/atom) = 0.152
- crystal system = tetragonal
- space group = P4/mmm (123)
- density (g/cm3) = 8.47

DFT (PBE) results for ThW4 after structural relaxation.

a = 4.8591 Å, b = 4.8591 Å, c = 4.8591 Å
α = 90.00°, β = 90.00°, γ = 90.00°
With the nearest neighbours (Å) after each atom.
Positions (direct):
1 Th 0.0000 0.0000 0.0000  6 W 2.43
2 W 0.0000 0.0000 0.5000  2 Th 2.43
3 W 0.0000 0.5000 0.0000  2 Th 2.43
4 W 0.5000 0.0000 0.0000  2 Th 2.43
5 W 0.5000 0.5000 0.5000  12 W 3.44

- N(E_F) (states/eV/f.u.) = 6.302
- formation energy from the elements (eV/atom) = 3.287
- crystal system = cubic
- space group = Pm-3m (221)
- density (g/cm3) = 14.00

DFT (PBE) results for ThW6 after structural relaxation.

a = 6.0989 Å, b = 6.0989 Å, c = 6.0989 Å
α = 109.47°, β = 109.47°, γ = 109.47°
With the nearest neighbours (Å) after each atom.
Positions (direct):
1 Th 0.0000 0.0000 0.0000  24 W 3.94
2 W 0.2500 0.5000 0.7500  4 W 2.49
3 W 0.2500 0.7500 0.5000  4 W 2.49
4 W 0.5000 0.2500 0.7500  4 W 2.49
5 W 0.5000 0.7500 0.2500  4 W 2.49
6 W 0.7500 0.2500 0.5000  4 W 2.49
7 W 0.7500 0.5000 0.2500  4 W 2.49

- N(E_F) (states/eV/f.u.) = 12.147
- formation energy from the elements (eV/atom) = 1.826
- crystal system = cubic
- space group = Im-3m (229)
- density (g/cm3) = 12.69

DFT (PBE) results for ThZrW4 after structural relaxation.

a = 5.5378 Å, b = 5.5378 Å, c = 5.5378 Å
α = 60.00°, β = 60.00°, γ = 60.00°
With the nearest neighbours (Å) after each atom.
Positions (direct):
1 Th 0.0000 0.0000 0.0000  12 W 3.25, 4 Zr 3.39
2 Zr 0.7500 0.7500 0.7500  12 W 3.25, 4 Th 3.39
3 W 0.3751 0.3751 0.3751  6 W 2.77
4 W 0.3751 0.3751 0.8747  6 W 2.77
5 W 0.3751 0.8747 0.3751  6 W 2.77
6 W 0.8747 0.3751 0.3751  6 W 2.77

- N(E_F) (states/eV/f.u.) = 3.199
- formation energy from the elements (eV/atom) = 0.067
- crystal system = cubic
- space group = F-43m (216)
- density (g/cm3) = 14.64

DFT (PBE) results for ThZr2W after structural relaxation.

a = 3.3996 Å, b = 3.3996 Å, c = 8.0640 Å
α = 90.00°, β = 90.00°, γ = 90.00°
With the nearest neighbours (Å) after each atom.
Positions (direct):
1 Th 0.0000 0.0000 0.0000  4 Th 3.40, 8 Zr 3.42
2 Zr 0.5000 0.5000 0.3015  4 W 2.89, 1 Zr 3.20
3 Zr 0.5000 0.5000 0.6985  4 W 2.89, 1 Zr 3.20
4 W 0.0000 0.0000 0.5000  8 Zr 2.89

- N(E_F) (states/eV/f.u.) = 4.542
- formation energy from the elements (eV/atom) = 0.134
- crystal system = tetragonal
- space group = P4/mmm (123)
- density (g/cm3) = 10.66